Entry 1:
## BaTbDy4S8 (PBE-GGA)

Data for crystalline BaTbDy4S8 at its relaxed geometry.

POSCAR file:
```
BaTbDy4S8
1.0
8.238 0.000 0.000
4.119 7.134 0.000
4.119 2.378 6.744
Dy Tb S Ba
4 1 8 1
Cartesian
6.150 1.206 3.384
2.088 1.206 3.384
8.238 4.756 0.841
4.119 4.723 3.384
4.119 2.378 6.706
10.589 3.398 4.927
8.238 7.471 4.927
12.357 7.134 4.913
10.410 6.010 1.740
4.119 2.378 2.056
8.238 2.247 1.740
5.886 3.398 4.927
6.065 6.010 1.740
8.238 4.756 5.911
```

Symmetry: R3m (160)
Raw formation energy (eV per formula unit): -27.56

***

Entry 2:
## CrSnPtCl2 (PBE-GGA)

Data for crystalline CrSnPtCl2 at its relaxed geometry.

POSCAR file:
```
CrSnPtCl2
1.0
4.894 0.000 0.000
0.000 5.375 0.000
0.000 0.000 4.894
Pt Sn Cl Cr
1 1 2 1
Cartesian
0.000 0.000 0.000
0.000 2.688 0.000
0.000 0.000 2.447
2.447 0.000 0.000
2.447 2.688 2.447
```

Symmetry: P4/mmm (123)
Raw formation energy (eV per formula unit): 1.87